# 1
{
  "formula": "SrSmHgAu",
  "functional": "PBE",
  "state": "optimized geometry",
  "space_group": "F-43m, No. 216",
  "dft_energy_ev_per_atom": -3.072,
  "delta_e_f_kj_per_mol_atoms": -55.7,
  "lattice_angstrom": [[-3.8861, 2.1175, -3.0733], [0.1400, -0.6488, -5.3470], [-3.5788, -3.2216, -2.4175]],
  "species": ["Sr", "Au", "Hg", "Sm"],
  "frac_coords": [[0.2500, 0.2500, 0.2500], [0.0000, 0.0000, 0.0000], [0.5000, 0.5000, 0.5000], [0.7500, 0.7500, 0.7500]]
}



# 2
{
  "formula": "CrTcSb2",
  "functional": "PBE",
  "state": "optimized geometry",
  "formation_energy_uncorrected_kj_per_mol_atoms": 24.8,
  "space_group": "Pmm2, No. 25",
  "dft_energy_ev_per_atom": -6.801,
  "lattice_angstrom": [[3.3052, 0.0000, 0.0000], [0.0000, 4.0350, 0.0000], [0.0000, 0.0000, 5.6684]],
  "species": ["Cr", "Sb", "Sb", "Tc"],
  "frac_coords": [[0.5000, 0.5000, 0.7870], [0.0000, 0.0000, 0.9453], [0.5000, 0.5000, 0.3067], [0.0000, 0.0000, 0.4611]]
}



# 3
{
  "formula": "SmTcN4",
  "functional": "PBE",
  "state": "optimized geometry",
  "formation_energy_uncorrected_kj_per_mol_atoms": 5.8,
  "space_group": "I4_1/a, No. 88",
  "dft_energy_ev_per_atom": -8.004,
  "lattice_angstrom": [[5.2823, 0.0000, 0.0000], [0.0000, 5.2823, 0.0000], [-2.6412, -2.6412, 6.0628]],
  "species": ["Sm", "Sm", "Tc", "Tc", "N", "N", "N", "N", "N", "N", "N", "N"],
  "frac_coords": [[0.0000, 0.0000, 0.0000], [0.7500, 0.2500, 0.5000], [0.5000, 0.5000, 0.0000], [0.2500, 0.7500, 0.5000], [0.0332, 0.9207, 0.3338], [0.1631, 0.2832, 0.8338], [0.6707, 0.5506, 0.8338], [0.3006, 0.4131, 0.3338], [0.4494, 0.8369, 0.1662], [0.0793, 0.6994, 0.6662], [0.5869, 0.9668, 0.6662], [0.7168, 0.3293, 0.1662]]
}



# 4
{
  "formula": "Sm2Tc2P2C",
  "functional": "PBE",
  "state": "optimized geometry",
  "space_group": "C2/m, No. 12",
  "dft_energy_ev_per_atom": -8.064,
  "delta_e_f_kj_per_mol_atoms": -86.0,
  "lattice_angstrom": [[3.9686, 0.0000, 0.0000], [1.9843, 5.6125, -0.2053], [1.9843, 1.9104, 5.5010]],
  "species": ["Sm", "Sm", "Tc", "Tc", "P", "P", "C"],
  "frac_coords": [[0.5652, 0.1787, 0.6910], [0.4348, 0.8213, 0.3090], [0.1970, 0.6937, 0.9123], [0.8030, 0.3063, 0.0877], [0.1788, 0.3598, 0.2825], [0.8212, 0.6402, 0.7175], [0.0000, 0.0000, 0.0000]]
}



# 5
{
  "formula": "LaPu2Fe",
  "functional": "PBE",
  "state": "optimized geometry",
  "space_group": "P4/mmm, No. 123",
  "dft_energy_ev_per_atom": -10.369,
  "delta_e_f_kj_per_mol_atoms": 13.9,
  "lattice_angstrom": [[3.4319, 0.0000, 0.0000], [0.0000, 3.4319, 0.0000], [0.0000, 0.0000, 8.2793]],
  "species": ["La", "Fe", "Pu", "Pu"],
  "frac_coords": [[0.5000, 0.5000, 0.5000], [0.5000, 0.5000, 0.0000], [0.0000, 0.0000, 0.8135], [0.0000, 0.0000, 0.1865]]
}



# 6
{
  "formula": "Tb6Er4Tm19",
  "functional": "PBE",
  "state": "optimized geometry",
  "space_group": "I23, No. 197",
  "dft_energy_ev_per_atom": -4.130,
  "delta_e_f_kj_per_mol_atoms": 37.4,
  "lattice_angstrom": [[-10.0080, -2.9691, 2.0032], [6.6815, -7.5216, 3.4309], [2.0609, 9.1333, 5.0321]],
  "species": ["Tb", "Tb", "Tb", "Tb", "Tb", "Tb", "Er", "Er", "Er", "Er", "Tm", "Tm", "Tm", "Tm", "Tm", "Tm", "Tm", "Tm", "Tm", "Tm", "Tm", "Tm", "Tm", "Tm", "Tm", "Tm", "Tm", "Tm", "Tm"],
  "frac_coords": [[0.3712, 0.5000, 0.8712], [0.6288, 0.5000, 0.1288], [0.1288, 0.6288, 0.5000], [0.8712, 0.3712, 0.5000], [0.5000, 0.8712, 0.3712], [0.5000, 0.1288, 0.6288], [0.0000, 0.0000, 0.6428], [0.0000, 0.6428, 0.0000], [0.3572, 0.3572, 0.3572], [0.6428, 0.0000, 0.0000], [0.7398, 0.0000, 0.7398], [0.2602, 0.0000, 0.2602], [0.2602, 0.2602, 0.0000], [0.7398, 0.7398, 0.0000], [0.0000, 0.7398, 0.7398], [0.0000, 0.2602, 0.2602], [0.0000, 0.0000, 0.0000], [0.1956, 0.2123, 0.5361], [0.8044, 0.3406, 0.0167], [0.6762, 0.6594, 0.4639], [0.0167, 0.8044, 0.3406], [0.3238, 0.7877, 0.9833], [0.5361, 0.1956, 0.2123], [0.9833, 0.3238, 0.7877], [0.4639, 0.6762, 0.6594], [0.7877, 0.9833, 0.3238], [0.3406, 0.0167, 0.8044], [0.2123, 0.5361, 0.1956], [0.6594, 0.4639, 0.6762]]
}